A plane-wave DFT calculation with PBE-GGA was carried out for a relaxed TbThOsAu crystal.

Cell and atoms, written as POSCAR:
```
TbThOsAu
1.0
0.0000 3.5843 3.5843
3.5843 0.0000 3.5843
3.5843 3.5843 0.0000
Tb Th Os Au
1 1 1 1
Direct
0.0000 0.0000 0.0000 Tb
0.5000 0.5000 0.5000 Th
0.2500 0.2500 0.2500 Os
0.7500 0.7500 0.7500 Au
```

Values from the calculation:
The volume comes out at 92 Å³ per cell. The space-group type is F-43m. Its energy is -7.05 eV/atom. The energy of formation is -0.411 eV/atom. The density of states at the Fermi level is 2.42 states/eV/f.u.

***

A plane-wave DFT calculation with PBE-GGA was carried out for a relaxed Na2RhBr6 crystal.

Cell and atoms, written as POSCAR:
```
Na2RhBr6
1.0
6.6119 0.0000 0.0000
0.0000 6.6119 0.0000
0.0000 0.0000 12.6524
Na Rh Br
4 2 12
Direct
0.0000 0.0000 0.1684 Na
0.0000 0.0000 0.8316 Na
0.5000 0.5000 0.3316 Na
0.5000 0.5000 0.6684 Na
0.0000 0.0000 0.5000 Rh
0.5000 0.5000 0.0000 Rh
0.1848 0.1848 0.3562 Br
0.1848 0.1848 0.6438 Br
0.2332 0.2332 0.0000 Br
0.2668 0.7332 0.5000 Br
0.3152 0.6848 0.1438 Br
0.3152 0.6848 0.8562 Br
0.6848 0.3152 0.1438 Br
0.6848 0.3152 0.8562 Br
0.7332 0.2668 0.5000 Br
0.7668 0.7668 0.0000 Br
0.8152 0.8152 0.3562 Br
0.8152 0.8152 0.6438 Br
```

Values from the calculation:
The volume comes out at 553 Å³ per cell. The space-group type is P4_2/mnm. Its energy is -2.99 eV/atom. The uncorrected formation energy comes out at -0.7661 eV per atom. The density of states at the Fermi level is 9.42 states/eV/f.u.

***

A plane-wave DFT calculation with PBE-GGA was carried out for a relaxed NbAlTe crystal.

Cell and atoms, written as POSCAR:
```
NbAlTe
1.0
-1.9053 1.9053 4.4851
1.9053 -1.9053 4.4851
1.9053 1.9053 -4.4851
Nb Al Te
1 1 1
Direct
0.0000 0.0000 0.0000 Nb
0.5000 0.5000 0.0000 Al
0.2500 0.7500 0.5000 Te
```

Values from the calculation:
The volume comes out at 65 Å³ per cell. The space-group type is I-4m2. Its energy is -5.72 eV/atom. The uncorrected formation energy comes out at -0.0660 eV per atom. The density of states at the Fermi level is 0.31 states/eV/f.u. The excess energy over the best structure of this formula in the dataset is 0.43 eV per formula unit.

***

A plane-wave DFT calculation with PBE-GGA was carried out for a relaxed PrTmAu2 crystal.

Cell and atoms, written as POSCAR:
```
PrTmAu2
1.0
0.0000 3.6574 3.6574
3.6574 0.0000 3.6574
3.6574 3.6574 0.0000
Pr Tm Au
1 1 2
Direct
0.0000 0.0000 0.0000 Pr
0.5000 0.5000 0.5000 Tm
0.2500 0.2500 0.2500 Au
0.7500 0.7500 0.7500 Au
```

Values from the calculation:
The volume comes out at 98 Å³ per cell. The space-group type is Fm-3m. Its energy is -4.74 eV/atom. The energy of formation is -0.786 eV/atom. The density of states at the Fermi level is 3.58 states/eV/f.u. The excess energy over the best structure of this formula in the dataset is 0.17 eV per formula unit.

***

A plane-wave DFT calculation with PBE-GGA was carried out for a relaxed Hf2Zr2Fe crystal.

Cell and atoms, written as POSCAR:
```
Hf2Zr2Fe
1.0
5.7135 0.0000 0.0000
0.0000 7.6149 0.0000
0.0000 0.0000 4.7287
Hf Zr Fe
4 4 2
Direct
0.2484 0.0794 0.0000 Hf
0.2516 0.5794 0.0000 Hf
0.7484 0.4206 0.0000 Hf
0.7516 0.9206 0.0000 Hf
0.1002 0.3269 0.5000 Zr
0.3998 0.8269 0.5000 Zr
0.6002 0.1731 0.5000 Zr
0.8998 0.6731 0.5000 Zr
0.0000 0.0000 0.5000 Fe
0.5000 0.5000 0.5000 Fe
```

Values from the calculation:
The volume comes out at 206 Å³ per cell. The space-group type is Pbam. Its energy is -9.04 eV/atom. The energy of formation is 0.054 eV/atom. The density of states at the Fermi level is 3.91 states/eV/f.u. The excess energy over the best structure of this formula in the dataset is 0.00 eV per formula unit.

***

A plane-wave DFT calculation with PBE-GGA was carried out for a relaxed Hf5AlGe5 crystal.

Cell and atoms, written as POSCAR:
```
Hf5AlGe5
1.0
5.9016 -2.6824 0.0000
5.9016 2.6824 0.0000
-2.6788 0.0000 7.2965
Hf Al Ge
5 1 5
Direct
0.0000 0.0000 0.0000 Hf
0.3286 0.3286 0.1617 Hf
0.3389 0.3389 0.6770 Hf
0.6611 0.6611 0.3230 Hf
0.6714 0.6714 0.8383 Hf
0.0000 0.0000 0.5000 Al
0.1614 0.1614 0.8251 Ge
0.1669 0.1669 0.3381 Ge
0.5000 0.5000 0.5000 Ge
0.8331 0.8331 0.6619 Ge
0.8386 0.8386 0.1749 Ge
```

Values from the calculation:
The volume comes out at 231 Å³ per cell. The space-group type is C2/m. Its energy is -7.11 eV/atom. The energy of formation is -0.143 eV/atom. The density of states at the Fermi level is 5.29 states/eV/f.u.